Record 1
Material: HfTlAg2Br8
Method: DFT, PBE
State: relaxed

Formation energy from raw total energies (eV/atom): -0.82
E_tot (eV for the cell shown): -41.257

Cell: 6.9682 7.4217 8.8675 Å, 70.76 88.10 78.20°
Last column: nearest neighbours and their distance in Å.
Space group P-1 (No. 2)
Inequivalent atoms, fractional coordinates:
Hf: 0.0000 0.0000 0.0000 x1  6 Br 2.60-2.66
Tl: 0.0000 0.0000 0.5000 x1  6 Br 2.99-3.25
Ag: 0.4888 0.3207 0.6954 x2  4 Br 2.62-2.85
Br: 0.1058 0.2348 0.7269 x2  1 Hf 2.66, 1 Ag 2.85
Br: 0.1398 0.1914 0.1546 x2  1 Hf 2.60
Br: 0.3415 0.7597 0.0230 x2  1 Ag 2.63, 1 Hf 2.63
Br: 0.3883 0.7226 0.5757 x2  2 Ag 2.62-2.76



Record 2
Material: Ag5HgBr8
Method: DFT, PBE
State: relaxed

Formation energy from raw total energies (eV/atom): -0.32
E_tot (eV for the cell shown): -129.666

Cell: 11.7856 11.7856 11.7856 Å, 90.00 90.00 90.00°
Last column: nearest neighbours and their distance in Å.
Space group F-43m (No. 216)
Inequivalent atoms, fractional coordinates:
Ag: 0.0000 0.0000 0.0000 x4  4 Br 2.68
Ag: 0.1284 0.1284 0.6284 x16  6 Br 2.83-2.90
Hg: 0.2500 0.2500 0.2500 x4  4 Br 2.71
Br: 0.1171 0.1171 0.3829 x16  1 Hg 2.71, 3 Ag 2.90
Br: 0.1311 0.1311 0.8689 x16  4 Ag 2.68-2.83